The following is a PBE calculation of a relaxed ThScHg2 crystal, from Alexandria via LeMat-Bulk.

Structure (POSCAR):
```
ThScHg2
1.0
5.2474 0.0000 0.0000
2.6237 4.5444 0.0000
2.6237 1.5148 4.2845
Th Hg Sc
1 2 1
direct
0.0000 0.0000 0.0000 Th
0.2500 0.2500 0.2500 Hg
0.7500 0.7500 0.7500 Hg
0.5000 0.5000 0.5000 Sc
```

Values from the calculation:
The calculated volume comes out at 25.54 Å³/atom. As for the formation energy: -0.275 eV/atom. For the energy above the lowest structure with this stoichiometry, the calculation gives 54 meV per atom. Its total energy is -15.5 eV per formula unit.

The following is a PBE calculation of a relaxed Er4BiRu crystal, from Alexandria via LeMat-Bulk.

Structure (POSCAR):
```
Er4BiRu
1.0
5.3900 0.0000 0.0000
0.0000 6.4189 0.0000
-2.6950 0.0000 9.9589
Ru Er Bi
2 8 2
direct
0.5853 0.8222 0.1706 Ru
0.4147 0.3222 0.8294 Ru
0.4535 0.8225 0.9071 Er
0.3053 0.0749 0.6106 Er
0.0994 0.8222 0.1989 Er
0.6947 0.5749 0.3894 Er
0.6946 0.0695 0.3893 Er
0.3054 0.5695 0.6107 Er
0.5465 0.3225 0.0929 Er
0.9006 0.3222 0.8011 Er
0.8453 0.8222 0.6906 Bi
0.1547 0.3222 0.3094 Bi
```

Values from the calculation:
The calculated volume comes out at 28.71 Å³/atom. As for the formation energy: -0.289 eV/atom. For the energy above the lowest structure with this stoichiometry, the calculation gives 219 meV per atom. Its total energy is -33.1 eV per formula unit.

The following is a PBE calculation of a relaxed NaZn3Ga2 crystal, from Alexandria via LeMat-Bulk.

Structure (POSCAR):
```
NaZn3Ga2
1.0
5.5394 0.0000 0.0000
0.0000 6.4372 0.7059
0.0000 -1.4582 6.3095
Ga Zn Na
4 6 2
direct
0.5000 0.7697 0.2303 Ga
0.0000 0.2303 0.7697 Ga
0.0000 0.7697 0.2303 Ga
0.5000 0.2303 0.7697 Ga
0.2500 0.5671 0.8606 Zn
0.7500 0.1394 0.4329 Zn
0.2500 0.8606 0.5671 Zn
0.2500 0.9561 0.9561 Zn
0.7500 0.4329 0.1394 Zn
0.7500 0.0439 0.0439 Zn
0.7500 0.6688 0.6688 Na
0.2500 0.3312 0.3312 Na
```

Values from the calculation:
The calculated volume comes out at 19.22 Å³/atom. As for the formation energy: -0.029 eV/atom. Its total energy is -11.4 eV per formula unit.